Computed, not measured: a geometry-optimized ZrTe2Br structure at the PBE level of DFT.

Values from the calculation:
**Energy relative to the elements, uncorrected**: -1.69 eV per formula unit
**DFT total energy**: -4.549 eV/atom
**Space group**: Immm
**N(E_F)**: 0.950 states/eV/atom
**Energy above the lowest structure with this stoichiometry**: 122 kJ/mol of formula units

Cell: 7.1790 7.1790 7.1790 Å, 151.79 136.01 53.08°
With the nearest neighbours (Å) after each atom.
Element x y z (fractional)
Te 0.9297 0.9297 0.0000  2 Zr 2.90
Te 0.5703 0.5703 0.0000  2 Zr 2.90
Br 0.2500 0.7500 0.5000  4 Zr 3.21, 2 Br 3.50, 4 Te 3.54
Zr 0.7500 0.2500 0.5000  4 Te 2.90, 4 Br 3.21